[1]
DFT (PBE-GGA) results for an optimized crystal structure of TiCo2HPd.

DFT total energy, eV/atom: -6.411
Magnetic moment, μB/f.u.: 0.0

```
data_TiCo2HPd
_chemical_formula_sum 'Ti1 Co2 H1 Pd1'
_cell_length_a 3.699
_cell_length_b 3.699
_cell_length_c 3.851
_cell_angle_alpha 90.00
_cell_angle_beta 90.00
_cell_angle_gamma 90.00
_symmetry_space_group_name_H-M 'P 1'
_symmetry_Int_Tables_number 1
loop_
_symmetry_equiv_pos_as_xyz
'x,y,z'
loop_
_atom_site_label
_atom_site_fract_x
_atom_site_fract_y
_atom_site_fract_z
Ti1 0.000 0.000 0.000
Co1 0.000 0.500 0.500
Co2 0.500 0.000 0.500
H1 0.000 0.000 0.500
Pd1 0.500 0.500 0.000
```

[2]
DFT (PBE-GGA) results for an optimized crystal structure of TbCdGa2Au2.

Energy of formation from the pure elements, eV per formula unit: -3.0
DFT total energy, eV/atom: -3.530
Magnetic moment, μB/f.u.: 0.0

```
data_TbCdGa2Au2
_chemical_formula_sum 'Tb1 Cd1 Ga2 Au2'
_cell_length_a 4.538
_cell_length_b 4.538
_cell_length_c 6.808
_cell_angle_alpha 90.00
_cell_angle_beta 90.00
_cell_angle_gamma 120.00
_symmetry_space_group_name_H-M 'P 1'
_symmetry_Int_Tables_number 1
loop_
_symmetry_equiv_pos_as_xyz
'x,y,z'
loop_
_atom_site_label
_atom_site_fract_x
_atom_site_fract_y
_atom_site_fract_z
Tb1 0.000 0.000 0.000
Cd1 0.000 0.000 0.500
Ga1 0.333 0.667 0.747
Ga2 0.667 0.333 0.253
Au1 0.333 0.667 0.261
Au2 0.667 0.333 0.739
```

[3]
DFT (PBE-GGA) results for an optimized crystal structure of Ca2SbPd2.

DFT total energy, eV/atom: -4.553
Magnetic moment, μB/f.u.: 0.0

```
data_Ca2SbPd2
_chemical_formula_sum 'Ca4 Sb2 Pd4'
_cell_length_a 5.769
_cell_length_b 5.769
_cell_length_c 8.271
_cell_angle_alpha 102.14
_cell_angle_beta 102.14
_cell_angle_gamma 59.26
_symmetry_space_group_name_H-M 'P 1'
_symmetry_Int_Tables_number 1
loop_
_symmetry_equiv_pos_as_xyz
'x,y,z'
loop_
_atom_site_label
_atom_site_fract_x
_atom_site_fract_y
_atom_site_fract_z
Ca1 0.004 0.297 0.152
Ca2 0.297 0.004 0.652
Ca3 0.703 0.996 0.348
Ca4 0.996 0.703 0.848
Sb1 0.324 0.676 0.250
Sb2 0.676 0.324 0.750
Pd1 0.243 0.496 0.508
Pd2 0.496 0.243 0.008
Pd3 0.504 0.757 0.992
Pd4 0.757 0.504 0.492
```

[4]
DFT (PBE-GGA) results for an optimized crystal structure of PrPbAu.

Energy of formation from the pure elements, eV per formula unit: -1.5
DFT total energy, eV/atom: -4.408
Magnetic moment, μB/f.u.: 0.0

```
data_PrPbAu
_chemical_formula_sum 'Pr1 Pb1 Au1'
_cell_length_a 6.540
_cell_length_b 6.540
_cell_length_c 6.540
_cell_angle_alpha 147.17
_cell_angle_beta 147.17
_cell_angle_gamma 47.11
_symmetry_space_group_name_H-M 'P 1'
_symmetry_Int_Tables_number 1
loop_
_symmetry_equiv_pos_as_xyz
'x,y,z'
loop_
_atom_site_label
_atom_site_fract_x
_atom_site_fract_y
_atom_site_fract_z
Pr1 0.000 0.000 0.000
Pb1 0.703 0.703 0.000
Au1 0.360 0.360 0.000
```

[5]
DFT (PBE-GGA) results for an optimized crystal structure of ReAg3Ge.

Energy of formation from the pure elements, eV per formula unit: 8.5
DFT total energy, eV/atom: -3.419
Magnetic moment, μB/f.u.: 1.7

```
data_ReAg3Ge
_chemical_formula_sum 'Re1 Ag3 Ge1'
_cell_length_a 5.061
_cell_length_b 5.061
_cell_length_c 5.061
_cell_angle_alpha 90.00
_cell_angle_beta 90.00
_cell_angle_gamma 90.00
_symmetry_space_group_name_H-M 'P 1'
_symmetry_Int_Tables_number 1
loop_
_symmetry_equiv_pos_as_xyz
'x,y,z'
loop_
_atom_site_label
_atom_site_fract_x
_atom_site_fract_y
_atom_site_fract_z
Re1 0.000 0.000 0.000
Ag1 0.000 0.000 0.500
Ag2 0.000 0.500 0.000
Ag3 0.500 0.000 0.000
Ge1 0.500 0.500 0.500
```

[6]
DFT (PBE-GGA) results for an optimized crystal structure of LaTmTeO6.

DFT total energy, eV/atom: -7.210
Magnetic moment, μB/f.u.: 0.0

```
data_LaTmTeO6
_chemical_formula_sum 'La2 Tm2 Te2 O12'
_cell_length_a 5.558
_cell_length_b 5.558
_cell_length_c 10.125
_cell_angle_alpha 90.00
_cell_angle_beta 90.00
_cell_angle_gamma 120.00
_symmetry_space_group_name_H-M 'P 1'
_symmetry_Int_Tables_number 1
loop_
_symmetry_equiv_pos_as_xyz
'x,y,z'
loop_
_atom_site_label
_atom_site_fract_x
_atom_site_fract_y
_atom_site_fract_z
La1 0.000 0.000 0.000
La2 0.000 0.000 0.500
Tm1 0.333 0.667 0.250
Tm2 0.667 0.333 0.750
Te1 0.333 0.667 0.750
Te2 0.667 0.333 0.250
O1 0.037 0.380 0.641
O2 0.037 0.657 0.859
O3 0.343 0.380 0.859
O4 0.343 0.963 0.641
O5 0.380 0.037 0.141
O6 0.380 0.343 0.359
O7 0.620 0.657 0.641
O8 0.620 0.963 0.859
O9 0.657 0.037 0.359
O10 0.657 0.620 0.141
O11 0.963 0.343 0.141
O12 0.963 0.620 0.359
```